[1]
RbZnCl3 (PBE, optimized geometry); DFT total energy = -60.98 eV per cell; size of the total moment = 0.00 Bohr magnetons per cell; space-group type = P2_1/c, No. 14; formation energy (no corrections) = -1.493 eV per atom
1.0
-17.3874 14.5849 -2.7622
-4.5188 -4.9730 2.1860
7.2867 -4.5415 4.7309
Zn Rb Cl
4 4 12
direct
0.5510 0.8039 0.6885
0.4490 0.1961 0.3115
0.9490 0.3039 0.8115
0.0510 0.6961 0.1885
0.9243 0.2559 0.1910
0.0757 0.7441 0.8090
0.5757 0.7559 0.3090
0.4243 0.2441 0.6910
0.3566 0.8803 0.1169
0.6434 0.1197 0.8831
0.1434 0.3803 0.3831
0.8566 0.6197 0.6169
0.2829 0.3812 0.0575
0.7171 0.6188 0.9425
0.2171 0.8812 0.4425
0.7829 0.1188 0.5575
0.4510 0.7437 0.6799
0.5490 0.2563 0.3201
0.0490 0.2437 0.8201
0.9510 0.7563 0.1799



[2]
BaZn2Ag2 (PBE, optimized geometry); DFT total energy = -20.12 eV per cell; size of the total moment = 0.00 Bohr magnetons per cell; space-group type = P4/mbm, No. 127; energy of formation = 0.02 eV per atom; offset from the most stable computed form = 217 meV/atom
1.0
-4.2400 -3.0655 6.4460
6.7211 0.8095 4.8059
-0.9210 2.9409 0.7927
Zn Ba Ag
4 2 4
direct
0.3877 0.8877 0.0000
0.8877 0.6123 0.0000
0.6123 0.1123 0.0000
0.1123 0.3877 0.0000
0.0000 0.0000 0.0000
0.5000 0.5000 0.0000
0.1768 0.6768 0.5000
0.6768 0.8232 0.5000
0.8232 0.3232 0.5000
0.3232 0.1768 0.5000



Question: What is the size of the total moment in the first record?
Answer: 0.00 Bohr magnetons per cell